# PBE Mn4MoRh, relaxed
data_Mn4MoRh
_chemical_formula_sum 'Mn4 Mo1 Rh1'
_cell_length_a 4.694
_cell_length_b 4.694
_cell_length_c 4.694
_cell_angle_alpha 60.00
_cell_angle_beta 60.00
_cell_angle_gamma 60.00
_symmetry_space_group_name_H-M 'P 1'
_symmetry_Int_Tables_number 1
_symmetry_space_group_name_Hall 'P 1'
loop_
_atom_site_label
_atom_site_type_symbol
_atom_site_fract_x
_atom_site_fract_y
_atom_site_fract_z
Mo1 Mo 0.250 0.250 0.250
Mn1 Mn 0.627 0.627 0.627
Mn2 Mn 0.119 0.627 0.627
Mn3 Mn 0.627 0.627 0.119
Mn4 Mn 0.627 0.119 0.627
Rh1 Rh 0.000 0.000 0.000
# Spin magnetization, μB per atom: 0.180
# Fermi-level density of states, states/eV/f.u.: 7.80
# ΔH_f (0 K), eV per formula unit: -0.2
# Final energy, eV per atom: -9.17
# SG: F-43m (216)